# CuHg2Br4 PBE-GGA relaxed
data_CuHg2Br4
_chemical_formula_sum 'Cu2 Hg4 Br8'
_space_group_name_H-M_alt 'I 4/m m m'
_space_group_IT_number 139
_space_group_name_Hall '-I 4 2'
_cell_length_a 5.627
_cell_length_b 5.627
_cell_length_c 12.996
_cell_angle_alpha 90.00
_cell_angle_beta 90.00
_cell_angle_gamma 90.00
loop_
_atom_site_label
_atom_site_type_symbol
_atom_site_fract_x
_atom_site_fract_y
_atom_site_fract_z
Cu1 Cu 0.000 0.000 0.000
Hg1 Hg 0.000 0.000 0.392
Br1 Br 0.000 0.000 0.193
Br2 Br 0.000 0.500 0.000
# Formation energy (no corrections), eV per atom: -0.201
# D(E_F), states/eV/f.u.: 1.6
# Total moment, μB/atom: 0.00

=====

# TlP3C PBE-GGA relaxed
data_TlP3C
_chemical_formula_sum 'Tl1 P3 C1'
_space_group_name_H-M_alt 'P m -3 m'
_space_group_IT_number 221
_space_group_name_Hall '-P 4 2 3'
_cell_length_a 5.184
_cell_length_b 5.184
_cell_length_c 5.184
_cell_angle_alpha 90.00
_cell_angle_beta 90.00
_cell_angle_gamma 90.00
loop_
_atom_site_label
_atom_site_type_symbol
_atom_site_fract_x
_atom_site_fract_y
_atom_site_fract_z
Tl1 Tl 0.000 0.000 0.000
P1 P 0.000 0.000 0.500
C1 C 0.500 0.500 0.500
# Energy of formation, eV per atom: 2.827
# D(E_F), states/eV/f.u.: 4.0
# Total moment, μB/atom: 0.17
# Energy above the most stable polymorph in this dataset, eV per atom: 1.6076

=====

# HfVRe3 PBE-GGA relaxed
data_HfVRe3
_chemical_formula_sum 'Hf1 V1 Re3'
_space_group_name_H-M_alt 'P m -3 m'
_space_group_IT_number 221
_space_group_name_Hall '-P 4 2 3'
_cell_length_a 4.498
_cell_length_b 4.498
_cell_length_c 4.498
_cell_angle_alpha 90.00
_cell_angle_beta 90.00
_cell_angle_gamma 90.00
loop_
_atom_site_label
_atom_site_type_symbol
_atom_site_fract_x
_atom_site_fract_y
_atom_site_fract_z
Hf1 Hf 0.000 0.000 0.000
V1 V 0.500 0.500 0.500
Re1 Re 0.000 0.500 0.500
# Energy of formation, eV per atom: 1.032
# D(E_F), states/eV/f.u.: 3.9
# Total moment, μB/atom: 0.00
# Energy above the most stable polymorph in this dataset, eV per atom: 0.0000

=====

- What is the total moment in the second record?
  0.17 μB/atom

=====

Please write out number 3 again, unchanged.
# HfVRe3 PBE-GGA relaxed
data_HfVRe3
_chemical_formula_sum 'Hf1 V1 Re3'
_space_group_name_H-M_alt 'P m -3 m'
_space_group_IT_number 221
_space_group_name_Hall '-P 4 2 3'
_cell_length_a 4.498
_cell_length_b 4.498
_cell_length_c 4.498
_cell_angle_alpha 90.00
_cell_angle_beta 90.00
_cell_angle_gamma 90.00
loop_
_atom_site_label
_atom_site_type_symbol
_atom_site_fract_x
_atom_site_fract_y
_atom_site_fract_z
Hf1 Hf 0.000 0.000 0.000
V1 V 0.500 0.500 0.500
Re1 Re 0.000 0.500 0.500
# Energy of formation, eV per atom: 1.032
# D(E_F), states/eV/f.u.: 3.9
# Total moment, μB/atom: 0.00
# Energy above the most stable polymorph in this dataset, eV per atom: 0.0000

=====

- The lowest D(E_F) belongs to which entry?
  CuHg2Br4